Record 1
Here is MgSeI after structural relaxation from the Alexandria database. Energies are from PBE.

The structure belongs to space group P-1 (No. 2); the cell edges are 4.0699, 7.1602 and 7.3712 Å and the angles 68.45°, 81.36° and 81.52°. Symmetry generates all atoms from Mg at (0.1750, 0.4780, 0.2530), Se at (0.3904, 0.3431, 0.6156) and I at (0.2175, 0.7707, 0.8540).

As for the energy above the most stable polymorph in this dataset: 1.2 meV/atom.

Record 2
Here is Pm4TmSc3 after structural relaxation from the Alexandria database. Energies are from PBE.

The structure belongs to space group Pmn2_1 (No. 31); the cell edges are 11.1101, 7.1502 and 6.0748 Å and the angles 90.00°, 90.00° and 90.00°. Symmetry generates all atoms from Pm at (0.0000, 0.1142, 0.0000), Pm at (0.0000, 0.6355, 0.9867), Pm at (0.2453, 0.6330, 0.3397), Tm at (0.0000, 0.3667, 0.4938), Sc at (0.0000, 0.8831, 0.5024) and Sc at (0.2461, 0.1165, 0.3335).

As for the energy above the most stable polymorph in this dataset: 0.0 meV/atom. Its formation energy is 47.3 meV per atom.

Record 3
Here is PmY2HoEr2 after structural relaxation from the Alexandria database. Energies are from PBE.

The structure belongs to space group Pnnm (No. 58); the cell edges are 6.5014, 17.7886 and 3.4021 Å and the angles 90.00°, 90.00° and 90.00°. Symmetry generates all atoms from Pm at (0.0000, 0.0000, 0.0000), Y at (0.2228, 0.1870, 0.0000), Ho at (0.0000, 0.5000, 0.0000) and Er at (0.2206, 0.3534, 0.5000).

Its formation energy is 270.6 meV per atom.

Record 4
Here is KTc2As after structural relaxation from the Alexandria database. Energies are from PBE.

The structure belongs to space group P4/mmm (No. 123); the cell edges are 3.1769, 3.1769 and 8.3738 Å and the angles 90.00°, 90.00° and 90.00°. Symmetry generates all atoms from K at (0.0000, 0.0000, 0.0000), Tc at (0.5000, 0.5000, 0.3499) and As at (0.0000, 0.0000, 0.5000).

Its formation energy is 700.4 meV per atom.

Record 5
Here is PrPaTe6 after structural relaxation from the Alexandria database. Energies are from PBE.

The structure belongs to space group Amm2 (No. 38); the cell edges are 4.4357, 4.4336 and 26.5288 Å and the angles 90.00°, 90.00° and 90.00°. Symmetry generates all atoms from Pr at (0.0000, 0.0000, 0.0000), Pa at (0.5000, 0.0000, 0.6610), Te at (0.0000, 0.0000, 0.1268), Te at (0.0000, 0.0000, 0.4068), Te at (0.0000, 0.0000, 0.7483), Te at (0.5000, 0.0000, 0.2483), Te at (0.5000, 0.0000, 0.5401) and Te at (0.5000, 0.0000, 0.9067).

Record 6
Here is Ac2MgGa4Rh3 after structural relaxation from the Alexandria database. Energies are from PBE.

The structure belongs to space group P-4m2 (No. 115); the cell edges are 4.2715, 4.2715 and 11.4135 Å and the angles 90.00°, 90.00° and 90.00°. Symmetry generates all atoms from Ac at (0.0000, 0.5000, 0.2348), Mg at (0.0000, 0.0000, 0.5000), Ga at (0.0000, 0.0000, 0.0000), Ga at (0.0000, 0.5000, 0.6396), Ga at (0.5000, 0.5000, 0.0000), Rh at (0.0000, 0.5000, 0.8727) and Rh at (0.5000, 0.5000, 0.5000).

Its formation energy is -647.1 meV per atom.

Size of the total moment, record by record: 0.000 0.000 0.000 0.000 0.109 0.000 μB/atom
Final energy, record by record: -3.07 -5.26 -4.96 -5.92 -4.99 -5.04 eV per atom